1.
This record from Alexandria via LeMat-Bulk describes crystalline DyCd2Rh at its relaxed geometry. The functional is GGA-PBE.

**Energy relative to the elements**: 0.215 eV per atom
**DOS at the Fermi energy**: 2.08 states/eV/cell

Cell: 3.089 3.089 10.824 Å, 81.80 81.80 60.00°
Element x y z (fractional)
Cd1 0.902 0.902 0.295
Cd2 0.098 0.098 0.705
Rh1 0.500 0.500 0.500
Dy1 0.000 0.000 0.000

2.
This record from Alexandria via LeMat-Bulk describes crystalline Dy4CdRh at its relaxed geometry. The functional is GGA-PBE.

**Energy relative to the elements**: -0.232 eV per atom
**DOS at the Fermi energy**: 8.50 states/eV/cell

Cell: 4.886 4.886 7.323 Å, 89.81 89.91 90.00°
Element x y z (fractional)
Rh1 0.001 0.997 0.498
Dy1 0.502 0.998 0.723
Dy2 0.501 0.996 0.273
Dy3 0.002 0.498 0.723
Dy4 0.001 0.496 0.273
Cd1 0.501 0.497 0.998

3.
This record from Alexandria via LeMat-Bulk describes crystalline DyCd3Rh at its relaxed geometry. The functional is GGA-PBE.

**Energy relative to the elements**: -0.330 eV per atom
**DOS at the Fermi energy**: 5.31 states/eV/cell

Cell: 4.031 9.397 11.911 Å, 90.00 90.00 90.00°
Element x y z (fractional)
Cd1 0.750 0.058 0.212
Cd2 0.250 0.318 0.292
Cd3 0.750 0.958 0.587
Cd4 0.250 0.942 0.788
Cd5 0.250 0.818 0.208
Cd6 0.250 0.042 0.413
Cd7 0.750 0.458 0.913
Cd8 0.250 0.542 0.087
Cd9 0.750 0.558 0.288
Cd10 0.750 0.182 0.792
Cd11 0.750 0.682 0.708
Cd12 0.250 0.442 0.712
Rh1 0.750 0.830 0.372
Rh2 0.750 0.330 0.128
Rh3 0.250 0.170 0.628
Rh4 0.250 0.670 0.872
Dy1 0.250 0.694 0.487
Dy2 0.250 0.194 0.013
Dy3 0.750 0.806 0.987
Dy4 0.750 0.306 0.513

4.
This record from Alexandria via LeMat-Bulk describes crystalline DyCd4Rh2 at its relaxed geometry. The functional is GGA-PBE.

**Energy relative to the elements**: -0.226 eV per atom
**DOS at the Fermi energy**: 3.27 states/eV/cell

Cell: 4.175 4.174 8.760 Å, 103.78 90.00 90.00°
Element x y z (fractional)
Rh1 0.500 0.572 0.144
Rh2 0.500 0.428 0.856
Cd1 0.000 0.324 0.648
Cd2 0.000 0.676 0.352
Cd3 0.500 0.178 0.357
Cd4 0.500 0.822 0.643
Dy1 0.000 0.000 0.000

5.
This record from Alexandria via LeMat-Bulk describes crystalline Dy2CdRh at its relaxed geometry. The functional is GGA-PBE.

**Energy relative to the elements**: -0.618 eV per atom
**DOS at the Fermi energy**: 2.02 states/eV/cell

Cell: 3.507 3.507 7.553 Å, 90.00 90.00 90.00°
Element x y z (fractional)
Dy1 0.000 0.000 0.217
Dy2 0.000 0.000 0.783
Rh1 0.500 0.500 0.000
Cd1 0.500 0.500 0.500

6.
This record from Alexandria via LeMat-Bulk describes crystalline Dy2CdRh at its relaxed geometry. The functional is GGA-PBE.

**Energy relative to the elements**: -0.533 eV per atom
**DOS at the Fermi energy**: 2.34 states/eV/cell

Cell: 5.052 5.052 5.052 Å, 60.00 60.00 60.00°
Element x y z (fractional)
Rh1 0.000 0.000 0.000
Cd1 0.500 0.500 0.500
Dy1 0.250 0.250 0.250
Dy2 0.750 0.750 0.750

7.
This record from Alexandria via LeMat-Bulk describes crystalline Dy2CdRh3 at its relaxed geometry. The functional is GGA-PBE.

**Energy relative to the elements**: -0.361 eV per atom
**DOS at the Fermi energy**: 3.67 states/eV/cell

Cell: 4.672 5.445 5.982 Å, 117.07 112.99 90.00°
Element x y z (fractional)
Cd1 0.000 0.500 0.000
Rh1 0.351 0.351 0.702
Rh2 0.649 0.649 0.298
Rh3 0.000 0.000 0.000
Dy1 0.679 0.179 0.358
Dy2 0.321 0.821 0.642

8.
This record from Alexandria via LeMat-Bulk describes crystalline Dy4CdRuRh2 at its relaxed geometry. The functional is GGA-PBE.

**Energy relative to the elements**: -0.591 eV per atom
**DOS at the Fermi energy**: 4.43 states/eV/cell

Cell: 4.927 4.927 8.603 Å, 73.36 73.36 60.00°
Element x y z (fractional)
Dy1 0.382 0.382 0.853
Dy2 0.130 0.130 0.610
Dy3 0.870 0.870 0.390
Dy4 0.618 0.618 0.147
Rh1 0.750 0.750 0.751
Rh2 0.250 0.250 0.249
Cd1 0.000 0.000 0.000
Ru1 0.500 0.500 0.500